[1]
Density functional theory data (PBE-GGA) for crystalline MgSn2Pb2 at its relaxed geometry.

Values from the calculation:
Energy relative to the elements (eV/atom): 0.13
Polymorph energy (0 for the lowest one) (eV/atom): 0.158
Total energy (eV/cell): -32.713
Magnetic moment (μB/f.u.): 0.0
Calculated volume (Å³/atom): 30.1
Space-group type: No. 127

Structure (POSCAR):
```
MgSn2Pb2
1.0
-3.2356 5.4380 5.4292
-1.0044 -6.1396 5.5510
3.9580 0.7794 1.5782
Pb Mg Sn
4 2 4
Direct
0.3443 0.8443 0.0000
0.8443 0.6557 0.0000
0.6557 0.1557 0.0000
0.1557 0.3443 0.0000
0.0000 0.0000 0.0000
0.5000 0.5000 0.0000
0.1379 0.6379 0.5000
0.6379 0.8621 0.5000
0.8621 0.3621 0.5000
0.3621 0.1379 0.5000
```

***

[2]
Density functional theory data (PBE-GGA) for crystalline LiLa12Zn6 at its relaxed geometry.

Values from the calculation:
Energy relative to the elements (eV/atom): -0.09
Total energy (eV/cell): -70.306
Magnetic moment (μB/f.u.): 0.0
Calculated volume (Å³/atom): 28.3
Space-group type: No. 148

Structure (POSCAR):
```
LiLa12Zn6
1.0
8.0483 0.7684 0.9205
-0.4607 8.0718 0.9205
-0.4607 -0.5367 8.1064
Li La Zn
1 12 6
Direct
0.0000 0.0000 0.0000
0.8132 0.5515 0.4364
0.4364 0.8132 0.5515
0.5515 0.4364 0.8132
0.1868 0.4485 0.5636
0.5636 0.1868 0.4485
0.4485 0.5636 0.1868
0.0134 0.1566 0.3856
0.8434 0.6144 0.9866
0.6144 0.9866 0.8434
0.9866 0.8434 0.6144
0.1566 0.3856 0.0134
0.3856 0.0134 0.1566
0.7547 0.9030 0.2449
0.7551 0.2453 0.0970
0.0970 0.7551 0.2453
0.2453 0.0970 0.7551
0.2449 0.7547 0.9030
0.9030 0.2449 0.7547
```

***

[3]
Density functional theory data (PBE-GGA) for crystalline Y2WCl at its relaxed geometry.

Values from the calculation:
Polymorph energy (0 for the lowest one) (eV/atom): 0.309
Total energy (eV/cell): -28.011
ΔE_f (raw) (eV/f.u.): -0.28
Magnetic moment (μB/f.u.): 0.3
Calculated volume (Å³/atom): 23.3
Space-group type: No. 47

Structure (POSCAR):
```
Y2WCl
1.0
-0.4943 3.2443 -0.0334
-3.8753 -0.6210 -2.9735
-3.4531 -0.4788 4.6004
Cl W Y
1 1 2
Direct
0.0000 0.0000 0.3751
0.5000 0.5000 0.8750
0.0000 0.0000 0.8749
0.5000 0.5000 0.3750
```

***

[4]
Density functional theory data (PBE-GGA) for crystalline TaNbH2 at its relaxed geometry.

Values from the calculation:
Polymorph energy (0 for the lowest one) (eV/atom): 0.090
Total energy (eV/cell): -29.070
Magnetic moment (μB/f.u.): 0.0
Calculated volume (Å³/atom): 10.1
Space-group type: No. 166

Structure (POSCAR):
```
TaNbH2
1.0
-0.3516 3.1030 0.4531
-1.9810 1.6462 -1.8229
-4.2446 0.7499 2.5588
H Nb Ta
2 1 1
Direct
0.2501 0.2501 0.2496
0.7499 0.7499 0.7504
0.0000 0.0000 0.0000
0.5000 0.5000 0.5000
```

***

[5]
Density functional theory data (PBE-GGA) for crystalline BaLi6Au4 at its relaxed geometry.

Values from the calculation:
Energy relative to the elements (eV/atom): -0.49
Total energy (eV/cell): -31.868
Magnetic moment (μB/f.u.): 0.0
Calculated volume (Å³/atom): 20.0
Space-group type: No. 187

Structure (POSCAR):
```
BaLi6Au4
1.0
4.2935 0.0000 0.0000
0.0000 6.6543 -3.8418
0.0000 0.0000 7.6837
Ba Li Au
1 6 4
Direct
0.0000 0.0000 0.0000
0.0000 0.5325 0.0649
0.5000 0.5813 0.7907
0.0000 0.5325 0.4675
0.0000 0.9351 0.4675
0.5000 0.2093 0.7907
0.5000 0.2093 0.4187
0.5000 0.7961 0.5921
0.5000 0.4079 0.2039
0.5000 0.7961 0.2039
0.0000 0.3333 0.6667
```